A relaxed structure of Al2TeW, computed with PBE-GGA.

Geometry as POSCAR:
```
Al2TeW
1.0
3.4893 0.0000 0.0000
0.0000 3.4893 0.0000
0.0000 0.0000 5.9683
Al Te W
2 1 1
direct
0.0000 0.0000 0.0000
0.5000 0.5000 0.2331
0.0000 0.0000 0.5206
0.5000 0.5000 0.7908
```

Summary:
Its total energy is -22.07 eV/f.u. The volume is 72.7 Å³/cell. The calculation puts the uncorrected formation energy at 0.377 eV per atom. Its spin magnetization is 0.00 μB/cell.